Record 1
Li5Tl6Ga | Alexandria | GGA-PBE | optimized geometry; space group = Immm (71); VASP energy = -0.088 Ha/atom; energy relative to the elements = -2.09 eV/f.u.
1.0
-2.5367 3.4454 7.5625
2.5367 -3.4454 7.5625
2.5367 3.4454 -7.5625
Li Tl Ga
5 6 1
Direct
0.0000 0.0000 0.0000 Li
0.1660 0.6660 0.5000 Li
0.3375 0.3375 0.0000 Li
0.6625 0.6625 0.0000 Li
0.8340 0.3340 0.5000 Li
0.0781 0.8303 0.2479 Tl
0.2438 0.5000 0.7438 Tl
0.4176 0.1697 0.2479 Tl
0.5824 0.8303 0.7521 Tl
0.7562 0.5000 0.2562 Tl
0.9219 0.1697 0.7521 Tl
0.5000 0.0000 0.5000 Ga


Record 2
LiTlGa2 | Alexandria | GGA-PBE | optimized geometry; space group = I-42d (122); distance to the lowest polymorph of the same formula = 0.36 eV/f.u.; VASP energy = -0.095 Ha/atom; energy relative to the elements = 0.05 eV/f.u.
1.0
-2.0331 2.0331 10.1875
2.0331 -2.0331 10.1875
2.0331 2.0331 -10.1875
Li Tl Ga
2 2 4
Direct
0.0000 0.0000 0.0000 Li
0.7500 0.2500 0.5000 Li
0.2500 0.7500 0.5000 Tl
0.5000 0.5000 0.0000 Tl
0.0951 0.6250 0.9701 Ga
0.3750 0.3451 0.4701 Ga
0.6549 0.1250 0.0299 Ga
0.8750 0.9049 0.5299 Ga


Record 3
LiTl2Ga | Alexandria | GGA-PBE | optimized geometry; space group = P4/mmm (123); distance to the lowest polymorph of the same formula = 0.03 eV/f.u.; VASP energy = -0.091 Ha/atom; energy relative to the elements = -0.19 eV/f.u.
1.0
4.7391 0.0000 0.0000
0.0000 4.7391 0.0000
0.0000 0.0000 4.1966
Li Tl Ga
1 2 1
Direct
0.0000 0.0000 0.0000 Li
0.0000 0.5000 0.5000 Tl
0.5000 0.0000 0.5000 Tl
0.5000 0.5000 0.0000 Ga


Record 4
LiTlGa2 | Alexandria | GGA-PBE | optimized geometry; space group = P4/mmm (123); distance to the lowest polymorph of the same formula = 0.00 eV/f.u.; VASP energy = -0.098 Ha/atom; energy relative to the elements = -0.32 eV/f.u.
1.0
4.1466 0.0000 0.0000
0.0000 4.1466 0.0000
0.0000 0.0000 4.7147
Li Tl Ga
1 1 2
Direct
0.0000 0.0000 0.0000 Li
0.5000 0.5000 0.0000 Tl
0.0000 0.5000 0.5000 Ga
0.5000 0.0000 0.5000 Ga


Record 5
LiTl2Ga | Alexandria | GGA-PBE | optimized geometry; space group = P4/mmm (123); distance to the lowest polymorph of the same formula = 0.03 eV/f.u.; VASP energy = -0.091 Ha/atom; energy relative to the elements = -0.19 eV/f.u.
1.0
3.6687 0.0000 0.0000
0.0000 3.6687 0.0000
0.0000 0.0000 7.0053
Li Tl Ga
1 2 1
Direct
0.0000 0.0000 0.0000 Li
0.5000 0.5000 0.2479 Tl
0.5000 0.5000 0.7521 Tl
0.0000 0.0000 0.5000 Ga


Record 6
LiTmTlGa | Alexandria | GGA-PBE | optimized geometry; space group = F-43m (216); VASP energy = -0.121 Ha/atom; energy relative to the elements = -1.37 eV/f.u.
1.0
0.0000 3.5168 3.5168
3.5168 0.0000 3.5168
3.5168 3.5168 0.0000
Li Tm Tl Ga
1 1 1 1
Direct
0.0000 0.0000 0.0000 Li
0.5000 0.5000 0.5000 Tm
0.7500 0.7500 0.7500 Tl
0.2500 0.2500 0.2500 Ga


Record 7
Li2TmGa6 | Alexandria | GGA-PBE | optimized geometry; space group = P6/mmm (191); distance to the lowest polymorph of the same formula = 0.00 eV/f.u.; VASP energy = -0.120 Ha/atom; energy relative to the elements = -2.88 eV/f.u.
1.0
7.5938 0.0000 0.0000
-3.7969 6.5764 0.0000
0.0000 0.0000 3.3741
Li Tm Ga
2 1 6
Direct
0.3333 0.6667 0.0000 Li
0.6667 0.3333 0.0000 Li
0.0000 0.0000 0.0000 Tm
0.0000 0.3369 0.5000 Ga
0.0000 0.6631 0.5000 Ga
0.3369 0.0000 0.5000 Ga
0.3369 0.3369 0.5000 Ga
0.6631 0.0000 0.5000 Ga
0.6631 0.6631 0.5000 Ga


Record 8
LiTm3Ga8 | Alexandria | GGA-PBE | optimized geometry; space group = R3m (160); VASP energy = -0.137 Ha/atom; energy relative to the elements = -5.21 eV/f.u.
1.0
2.7149 1.5674 8.9223
-2.7149 1.5674 8.9223
0.0000 -3.1349 8.9223
Li Tm Ga
1 3 8
Direct
0.0000 0.0000 0.0000 Li
0.1220 0.1220 0.1220 Tm
0.5010 0.5010 0.5010 Tm
0.6290 0.6290 0.6290 Tm
0.0640 0.0640 0.5633 Ga
0.0640 0.5633 0.0640 Ga
0.0649 0.5633 0.5633 Ga
0.3140 0.3140 0.3140 Ga
0.5633 0.0640 0.0640 Ga
0.5633 0.0649 0.5633 Ga
0.5633 0.5633 0.0649 Ga
0.8137 0.8137 0.8137 Ga